Record 1
First-principles (GGA-PBE) data for crystalline CsInO2 at its relaxed geometry, as listed in Alexandria.

It has space group P4/mmm (No. 123), with a = 4.726 Å, b = 4.726 Å, c = 3.310 Å, α = 90.00°, β = 90.00° and γ = 90.00°. The distinct sites, in fractional coordinates, are Cs at (0.000, 0.000, 0.000), In at (0.500, 0.500, 0.000) and O at (0.000, 0.500, 0.500).

Its total magnetization is 0.6 μB per cell. The volume comes out at 18.486 Å³/atom. For the energy relative to the elements, uncorrected, the calculation gives -0.74 eV per formula unit.


Record 2
First-principles (GGA-PBE) data for crystalline LiTiGaPd at its relaxed geometry, as listed in Alexandria.

It has space group F-43m (No. 216), with a = 6.204 Å, b = 6.204 Å, c = 6.204 Å, α = 90.00°, β = 90.00° and γ = 90.00°. The distinct sites, in fractional coordinates, are Li at (0.000, 0.000, 0.000), Ti at (0.000, 0.000, 0.500), Ga at (0.250, 0.250, 0.250) and Pd at (0.250, 0.250, 0.750).

The value obtained for the energy of formation is -0.474 eV/atom. Its total magnetization is 0.0 μB per cell. The volume comes out at 14.927 Å³/atom.


Record 3
First-principles (GGA-PBE) data for crystalline PmSmYZn at its relaxed geometry, as listed in Alexandria.

It has space group P4mm (No. 99), with a = 3.621 Å, b = 3.621 Å, c = 8.755 Å, α = 90.00°, β = 90.00° and γ = 90.00°. The distinct sites, in fractional coordinates, are Pm at (0.000, 0.000, 0.000), Sm at (0.500, 0.500, 0.297), Y at (0.500, 0.500, 0.706) and Zn at (0.000, 0.000, 0.509).

The value obtained for the energy of formation is -0.159 eV/atom. Its total magnetization is 0.0 μB per cell. The volume comes out at 28.696 Å³/atom.


Record 4
First-principles (GGA-PBE) data for crystalline Al2OsPb at its relaxed geometry, as listed in Alexandria.

It has space group I4/mmm (No. 139), with a = 4.169 Å, b = 4.169 Å, c = 8.022 Å, α = 90.00°, β = 90.00° and γ = 90.00°. The distinct sites, in fractional coordinates, are Al at (0.000, 0.500, 0.250), Os at (0.000, 0.000, 0.000) and Pb at (0.000, 0.000, 0.500).

The value obtained for the energy of formation is 0.442 eV/atom. Its total magnetization is 0.0 μB per cell. The volume comes out at 17.426 Å³/atom.


Record 5
First-principles (GGA-PBE) data for crystalline Pm6GaSn2 at its relaxed geometry, as listed in Alexandria.

It has space group P-62m (No. 189), with a = 8.4685 Å, b = 8.4685 Å, c = 4.4403 Å, α = 90.00°, β = 90.00° and γ = 120.00°. The distinct sites, in fractional coordinates, are Pm at (0.0000, 0.4089, 0.0000), Pm at (0.0000, 0.7513, 0.5000), Ga at (0.0000, 0.0000, 0.0000) and Sn at (0.3333, 0.6667, 0.5000).

The value obtained for the energy of formation is -0.527 eV/atom. Its total magnetization is 4.9 μB per cell. The volume comes out at 30.642 Å³/atom.


Record 6
First-principles (GGA-PBE) data for crystalline LiMg2Re at its relaxed geometry, as listed in Alexandria.

It has space group Immm (No. 71), with a = 2.857 Å, b = 4.838 Å, c = 9.256 Å, α = 90.00°, β = 90.00° and γ = 90.00°. The distinct sites, in fractional coordinates, are Li at (0.000, 0.000, 0.000), Mg at (0.000, 0.500, 0.264) and Re at (0.000, 0.000, 0.500).

The value obtained for the energy of formation is 0.431 eV/atom. Its total magnetization is 0.0 μB per cell. The volume comes out at 15.992 Å³/atom.


Record 7
First-principles (GGA-PBE) data for crystalline Ti4Nb3Ga4 at its relaxed geometry, as listed in Alexandria.

It has space group Immm (No. 71), with a = 3.407 Å, b = 7.698 Å, c = 14.523 Å, α = 90.00°, β = 90.00° and γ = 90.00°. The distinct sites, in fractional coordinates, are Ti at (0.000, 0.211, 0.168), Nb at (0.000, 0.000, 0.378), Nb at (0.000, 0.500, 0.500), Ga at (0.000, 0.313, 0.000) and Ga at (0.000, 0.500, 0.265).

The value obtained for the energy of formation is -0.181 eV/atom. Its total magnetization is 0.0 μB per cell. The volume comes out at 17.316 Å³/atom.


Total energy per entry: -0.1309 -0.1830 -0.1639 -0.1898 -0.1808 -0.1454 -0.2535 Ha/atom